The following is a DFT calculation (meta-GGA SCAN) of a PBEsol-optimized structure of ZrAg2Ru. Values from VASP.

Quantum ESPRESSO input file:
```
&SYSTEM
  ibrav = 0, nat = 4, ntyp = 3
/
ATOMIC_SPECIES
Zr 91.22 Zr.upf
Ag 107.87 Ag.upf
Ru 101.07 Ru.upf
ATOMIC_POSITIONS angstrom
Zr 0.000 0.000 0.000
Ag 0.000 1.907 2.249
Ag 1.907 0.000 2.249
Ru 1.907 1.907 0.000
CELL_PARAMETERS angstrom
3.815 0.000 0.000
0.000 3.815 0.000
0.000 0.000 4.497
```

Properties
- Energy of formation from the pure elements: -139 meV/atom
- SG: P4/mmm (123)
- E above lowest polymorph: 0.0000 eV per atom

The following is a DFT calculation (meta-GGA SCAN) of a PBEsol-optimized structure of Tl3Ag3Sb2S6. Values from VASP.

Quantum ESPRESSO input file:
```
&SYSTEM
  ibrav = 0, nat = 56, ntyp = 4
/
ATOMIC_SPECIES
Tl 204.38 Tl.upf
Ag 107.87 Ag.upf
Sb 121.76 Sb.upf
S 32.06 S.upf
ATOMIC_POSITIONS angstrom
Tl 0.400 2.922 2.358
Tl -2.537 2.941 7.505
Tl -0.584 5.981 4.838
Tl -3.521 11.606 9.985
Tl 1.676 7.202 1.176
Tl -1.261 10.385 6.323
Tl 6.465 1.339 3.971
Tl 3.528 4.523 9.118
Tl 8.725 0.119 0.309
Tl 5.788 5.743 5.457
Tl 7.741 8.784 2.789
Tl 4.804 8.803 7.936
Ag -1.272 1.875 4.471
Ag -4.209 3.988 9.618
Ag 2.708 7.487 4.362
Ag -0.229 10.100 9.509
Ag 4.890 7.390 0.546
Ag 1.953 10.197 5.693
Ag 3.251 1.528 4.601
Ag 0.314 4.334 9.748
Ag 5.433 1.625 0.785
Ag 2.496 4.237 5.932
Ag 9.413 7.737 0.676
Ag 6.476 9.850 5.823
Sb -2.540 6.828 7.829
Sb 0.397 10.759 2.682
Sb 1.061 7.582 7.747
Sb 3.998 10.005 2.600
Sb 1.206 1.720 7.694
Sb 4.143 4.143 2.547
Sb 4.807 0.966 7.613
Sb 7.744 4.896 2.466
S -4.819 6.172 8.458
S -1.882 11.415 3.311
S -3.169 7.902 5.664
S -0.232 9.685 0.517
S 0.569 8.777 4.107
S -2.368 8.810 9.254
S 0.879 0.936 5.378
S 3.816 4.926 0.231
S -0.852 0.842 8.695
S 2.085 5.020 3.548
S 3.319 1.881 2.134
S 0.382 3.981 7.281
S 4.822 7.744 3.013
S 1.885 9.844 8.160
S 3.119 6.705 6.746
S 6.056 10.882 1.599
S 1.388 6.799 10.063
S 4.325 10.788 4.916
S 7.572 2.915 1.041
S 4.635 2.948 6.188
S 5.436 2.039 9.777
S 8.373 3.823 4.630
S 7.086 0.309 6.983
S 10.023 5.553 1.836
CELL_PARAMETERS angstrom
11.078 0.000 0.000
0.000 11.725 0.000
-5.874 0.000 10.294
```

Properties
- SG: P2_1/c (14)
- Raw formation energy: -0.284 eV per atom

The following is a DFT calculation (meta-GGA SCAN) of a PBEsol-optimized structure of ScAgS2. Values from VASP.

Quantum ESPRESSO input file:
```
&SYSTEM
  ibrav = 0, nat = 4, ntyp = 3
/
ATOMIC_SPECIES
Sc 44.96 Sc.upf
Ag 107.87 Ag.upf
S 32.06 S.upf
ATOMIC_POSITIONS angstrom
Sc 0.000 0.000 0.000
Ag 0.000 0.000 11.074
S 0.000 0.000 8.761
S 0.000 0.000 13.387
CELL_PARAMETERS angstrom
1.861 1.075 7.383
-1.861 1.075 7.383
0.000 -2.149 7.383
```

Properties
- SG: R-3m (166)
- Raw formation energy: -1.394 eV per atom

The following is a DFT calculation (meta-GGA SCAN) of a PBEsol-optimized structure of SiAg8S6. Values from VASP.

Quantum ESPRESSO input file:
```
&SYSTEM
  ibrav = 0, nat = 60, ntyp = 3
/
ATOMIC_SPECIES
Si 28.09 Si.upf
Ag 107.87 Ag.upf
S 32.06 S.upf
ATOMIC_POSITIONS angstrom
Si 1.823 1.695 0.000
Si 5.567 5.343 5.199
Si 9.214 1.954 0.000
Si 12.957 5.602 5.199
Ag 0.172 3.789 2.444
Ag 0.917 5.366 0.119
Ag 0.995 0.618 3.498
Ag 1.325 0.778 6.756
Ag 1.984 5.677 4.993
Ag 3.269 3.711 2.801
Ag 3.408 2.781 6.944
Ag 3.566 1.020 4.697
Ag 3.825 4.668 9.895
Ag 3.982 6.429 1.745
Ag 4.121 0.062 7.999
Ag 5.406 2.029 10.192
Ag 6.065 4.426 1.558
Ag 6.395 4.266 8.697
Ag 6.473 1.718 5.318
Ag 7.218 0.141 7.643
Ag 7.562 7.156 2.444
Ag 8.307 5.578 0.119
Ag 8.385 3.030 3.498
Ag 8.715 2.871 6.756
Ag 9.374 5.268 4.993
Ag 10.659 7.234 2.801
Ag 10.798 0.867 6.944
Ag 10.956 2.628 4.697
Ag 11.215 6.276 9.895
Ag 11.372 4.515 1.745
Ag 11.511 3.586 7.999
Ag 12.796 1.619 10.192
Ag 13.455 6.519 1.558
Ag 13.785 6.678 8.697
Ag 13.863 1.930 5.318
Ag 14.608 3.507 7.643
S 0.079 1.646 1.236
S 1.691 2.511 5.020
S 1.734 5.683 2.536
S 1.799 0.000 9.091
S 1.896 3.423 9.122
S 3.511 1.683 1.299
S 3.879 5.331 6.498
S 5.494 7.072 3.923
S 5.591 3.648 3.893
S 5.657 2.035 7.735
S 5.699 6.159 10.219
S 7.311 5.294 6.435
S 7.469 2.002 1.236
S 9.081 1.137 5.020
S 9.124 5.262 2.536
S 9.189 3.648 9.091
S 9.286 0.225 9.122
S 10.901 1.966 1.299
S 11.269 5.614 6.498
S 12.884 3.873 3.923
S 12.981 7.296 3.893
S 13.047 1.613 7.735
S 13.089 4.785 10.219
S 14.701 5.650 6.435
CELL_PARAMETERS angstrom
14.780 0.000 0.000
0.000 7.296 0.000
0.000 0.000 10.398
```

Properties
- SG: Pna2_1 (33)
- Raw formation energy: -0.266 eV per atom